SnBP2: relaxed, GGA-PBEsol.

Calculated values
crystal system	cubic
calculated formation energy	1.1386	eV/atom
space group	Fm-3m, No. 225
DOS at the Fermi energy	2.08	states/eV/f.u.
magnetic moment	0.00	μB per formula unit

Geometry as extended XYZ:
```
16
Lattice="6.291 0.000 0.000 0.000 6.291 0.000 0.000 0.000 6.291" Properties=species:S:1:pos:R:3 pbc="T T T"
Sn 0.000 0.000 0.000
Sn 0.000 3.146 3.146
Sn 3.146 0.000 3.146
Sn 3.146 3.146 0.000
B 0.000 0.000 3.146
B 0.000 3.146 0.000
B 3.146 0.000 0.000
B 3.146 3.146 3.146
P 1.573 1.573 1.573
P 1.573 1.573 4.718
P 1.573 4.718 1.573
P 1.573 4.718 4.718
P 4.718 1.573 1.573
P 4.718 1.573 4.718
P 4.718 4.718 1.573
P 4.718 4.718 4.718
```